An optimized crystal structure of TlIrSe2. Source: the Alexandria database, functional PBE-GGA.

**Excess energy over the best structure of this formula in the dataset**: 1039 meV/atom
**DFT total energy**: -3.82 eV/atom
**Size of the total moment**: 0.0 μB/f.u.
**Raw formation energy**: 0.731 eV/atom

```
TlIrSe2
1.0
-1.6065 -1.6067 4.2266
-3.5892 -0.9571 -1.7281
1.4216 -3.7399 -0.8813
Tl Se Ir
1 2 1
Cartesian
-2.5979 -1.2819 1.2492 Tl
-1.0838 -2.3485 -1.3047 Se
0.0000 0.0000 0.0000 Se
-0.0925 -2.6733 1.6726 Ir
```


An optimized crystal structure of SrSc2Te. Source: the Alexandria database, functional PBE-GGA.

**DFT total energy**: -4.82 eV/atom
**Size of the total moment**: 0.9 μB/f.u.
**Raw formation energy**: -0.450 eV/atom

```
SrSc2Te
1.0
-0.9443 4.2596 -1.2447
-2.3777 -1.4123 -3.0292
-6.3520 -0.6696 2.5276
Te Sc Sr
1 2 1
Cartesian
-7.5548 0.3044 -1.4959 Te
-2.1464 -1.1464 -2.2949 Sc
-1.9097 1.6929 -1.0267 Sc
-4.8058 -1.1264 -0.2089 Sr
```


An optimized crystal structure of MgInGaSn. Source: the Alexandria database, functional PBE-GGA.

**DFT formation energy**: 0.0244 eV/atom
**Excess energy over the best structure of this formula in the dataset**: 34 meV/atom
**DFT total energy**: -2.82 eV/atom
**Size of the total moment**: 0.0 μB/f.u.

```
MgInGaSn
1.0
-2.4228 2.2572 -2.8856
-4.3493 0.2928 0.5381
-1.5044 5.9150 2.5472
Ga Sn In Mg
1 1 1 1
Cartesian
-6.4515 4.7066 -0.9297 Ga
-6.0826 7.1880 0.7016 Sn
-4.0352 4.9256 0.5556 In
-2.1073 1.8597 -0.1187 Mg
```


An optimized crystal structure of Sr2HgMo. Source: the Alexandria database, functional PBE-GGA.

**DFT formation energy**: 0.4973 eV/atom
**DFT total energy**: -3.13 eV/atom
**Size of the total moment**: 2.4 μB/f.u.

```
Sr2HgMo
1.0
6.6816 0.0234 0.1145
5.5567 3.7104 0.1145
2.1312 0.6502 4.9664
Sr Hg Mo
2 1 1
Cartesian
12.0550 3.6779 0.3139 Sr
11.0008 3.3563 3.7925 Sr
7.5279 2.2967 2.4356 Hg
3.2090 0.9791 1.4801 Mo
```


An optimized crystal structure of LaCrAsPb2. Source: the Alexandria database, functional PBE-GGA.

**DFT formation energy**: 0.0700 eV/atom
**DFT total energy**: -5.25 eV/atom
**Size of the total moment**: 0.0 μB/f.u.

```
LaCrAsPb2
1.0
-3.3218 -3.8330 -1.3700
2.0134 -2.8424 3.0706
-3.3733 1.6026 3.6954
Pb As Cr La
2 1 1 1
Cartesian
-1.6866 0.8013 1.8477 Pb
-1.6609 -1.9165 -0.6850 Pb
1.0067 -1.4212 1.5353 As
0.0000 0.0000 0.0000 Cr
-2.3409 -2.5364 2.6979 La
```


An optimized crystal structure of Pm3MgRh8. Source: the Alexandria database, functional PBE-GGA.

**DFT formation energy**: -0.5890 eV/atom
**DFT total energy**: -6.81 eV/atom
**Size of the total moment**: 0.0 μB/f.u.

```
Pm3MgRh8
1.0
5.3451 0.0000 0.0000
2.6726 4.6290 0.0000
2.6726 1.5430 8.7704
Rh Pm Mg
8 3 1
Cartesian
5.3451 4.6319 1.6689 Rh
2.6726 1.5430 3.8288 Rh
8.0177 3.0898 5.9977 Rh
4.0063 2.3130 1.6689 Rh
8.0177 4.6290 8.2190 Rh
9.3506 5.3986 5.9977 Rh
6.6839 2.3130 1.6689 Rh
6.6847 5.3986 5.9977 Rh
5.3451 3.0860 4.2918 Pm
8.0177 4.6290 0.1028 Pm
5.3451 3.0860 7.6521 Pm
8.0177 4.6290 3.3353 Mg
```


An optimized crystal structure of Na4AgAu. Source: the Alexandria database, functional PBE-GGA.

**DFT formation energy**: -0.0846 eV/atom
**Excess energy over the best structure of this formula in the dataset**: 79 meV/atom
**DFT total energy**: -1.99 eV/atom
**Size of the total moment**: 0.0 μB/f.u.

```
Na4AgAu
1.0
-3.3535 1.2139 4.4532
8.0644 -1.5550 -0.6203
-0.8651 8.3405 -3.0212
Au Na Ag
2 8 2
Cartesian
-2.1126 3.1167 3.0415 Au
5.9585 4.8827 -2.2298 Au
0.9684 3.4942 1.5800 Na
3.3160 0.2221 3.2471 Na
-0.1472 0.7816 2.7126 Na
0.5298 7.7773 -2.4354 Na
6.6188 2.1331 -0.8628 Na
3.9931 7.2178 -1.9009 Na
2.8775 4.5052 -0.7683 Na
-2.7729 5.8663 1.6745 Na
3.5929 1.7133 0.5074 Ag
0.2530 6.2861 0.3043 Ag
```


An optimized crystal structure of NaCoP2. Source: the Alexandria database, functional PBE-GGA.

**DFT formation energy**: 0.2188 eV/atom
**Excess energy over the best structure of this formula in the dataset**: 261 meV/atom
**DFT total energy**: -4.59 eV/atom
**Size of the total moment**: 0.0 μB/f.u.

```
NaCoP2
1.0
0.0000 3.0206 3.0206
3.0206 0.0000 3.0206
3.0206 3.0206 0.0000
P Co Na
2 1 1
Cartesian
1.5103 1.5103 1.5103 P
4.5309 4.5309 4.5309 P
3.0206 3.0206 3.0206 Co
0.0000 0.0000 0.0000 Na
```


An optimized crystal structure of Rb2SiP. Source: the Alexandria database, functional PBE-GGA.

**Excess energy over the best structure of this formula in the dataset**: 578 meV/atom
**DFT total energy**: -2.55 eV/atom
**Size of the total moment**: 1.0 μB/f.u.
**Raw formation energy**: 0.647 eV/atom

```
Rb2SiP
1.0
4.4259 -3.3864 1.4837
0.5787 -1.7615 5.4608
-0.9277 -5.5269 1.3607
Si Rb P
1 2 1
Cartesian
0.0000 0.0000 0.0000 Si
1.0192 -2.6687 2.0763 Rb
3.0577 -8.0062 6.2289 Rb
2.0385 -5.3374 4.1526 P
```


An optimized crystal structure of AcPa2Ga6. Source: the Alexandria database, functional PBE-GGA.

**DFT formation energy**: -0.2770 eV/atom
**Excess energy over the best structure of this formula in the dataset**: 63 meV/atom
**DFT total energy**: -4.86 eV/atom
**Size of the total moment**: 0.2 μB/f.u.

```
AcPa2Ga6
1.0
4.4446 0.0000 0.0000
2.2223 7.2846 0.9296
2.2223 2.3492 6.9578
Ga Ac Pa
6 1 2
Cartesian
4.4446 4.3491 0.6881 Ga
4.4446 5.2847 7.1992 Ga
4.4446 3.8943 5.0705 Ga
4.4446 8.1007 3.7597 Ga
4.4446 5.7394 2.8169 Ga
4.4446 1.5330 4.1277 Ga
0.0000 0.0000 0.0000 Ac
6.6669 5.8556 4.7941 Pa
2.2223 3.7782 3.0933 Pa
```


An optimized crystal structure of Rb3CdHg12. Source: the Alexandria database, functional PBE-GGA.

**DFT formation energy**: -0.1439 eV/atom
**DFT total energy**: -0.61 eV/atom
**Size of the total moment**: 0.0 μB/f.u.

```
Rb3CdHg12
1.0
5.2020 0.0000 0.0000
0.0000 5.2020 0.0000
0.0000 0.0000 19.2832
Hg Cd Rb
12 1 3
Cartesian
2.6010 0.0000 1.9495 Hg
0.0000 2.6010 7.0568 Hg
2.6010 0.0000 12.2265 Hg
2.6010 2.6010 14.9539 Hg
2.6010 0.0000 7.0568 Hg
0.0000 2.6010 12.2265 Hg
0.0000 2.6010 1.9495 Hg
0.0000 2.6010 17.3337 Hg
2.6010 2.6010 0.0000 Hg
2.6010 2.6010 9.6416 Hg
2.6010 2.6010 4.3293 Hg
2.6010 0.0000 17.3337 Hg
0.0000 0.0000 0.0000 Cd
0.0000 0.0000 4.4461 Rb
0.0000 0.0000 14.8371 Rb
0.0000 0.0000 9.6416 Rb
```


An optimized crystal structure of LiGa3Os. Source: the Alexandria database, functional PBE-GGA.

**DFT formation energy**: -0.1009 eV/atom
**Excess energy over the best structure of this formula in the dataset**: 0 meV/atom
**DFT total energy**: -4.55 eV/atom
**Size of the total moment**: 0.0 μB/f.u.

```
LiGa3Os
1.0
-3.6589 2.8487 5.5996
-1.4396 -6.4593 1.1935
5.8362 -1.0201 3.1807
Ga Li Os
12 4 4
Cartesian
4.4507 -1.0039 3.1353 Ga
-0.4431 -4.3931 6.3095 Ga
3.6954 -0.8804 5.5625 Ga
-3.1023 -0.6475 5.7939 Ga
1.8977 -5.4838 2.7299 Ga
-2.9578 -3.7503 4.4113 Ga
-1.1601 0.8531 7.2439 Ga
-3.7131 -3.6268 6.8385 Ga
1.8512 -2.7266 6.0166 Ga
1.1807 -0.2376 3.6642 Ga
3.8400 -3.9832 4.1799 Ga
-1.1136 -1.9041 3.9571 Ga
-0.3468 -1.4543 6.4412 Li
1.0844 -3.1764 3.5326 Li
1.8512 0.1888 7.0415 Li
-1.1136 -4.8195 2.9323 Li
1.8103 -5.2401 5.2700 Os
-1.0726 0.6094 4.7038 Os
-0.0606 -1.4261 1.6807 Os
0.7983 -3.2046 8.2930 Os
```